--- P ---
Ti2V2Cu: relaxed, PBE.

Summary:
SG = C2/c

Unit cell a=4.0967 b=5.4613 c=7.2910 alpha=110.00 beta=106.32 gamma=90.00
Sites, in units of the cell vectors:
Ti  0.3922  0.3834  0.7919
Ti  0.6078  0.6166  0.2081
Ti  0.3997  0.8834  0.7919
Ti  0.6003  0.1166  0.2081
V  0.7906  0.9667  0.5777
V  0.7871  0.4667  0.5777
V  0.2094  0.0333  0.4223
V  0.2129  0.5333  0.4223
Cu  0.9991  0.2500  0.0000
Cu  0.0009  0.7500  0.0000

--- Q ---
Ti2V2Cu: relaxed, PBE.

Summary:
SG = P4/mbm

Unit cell a=6.5434 b=6.5434 c=3.5304 alpha=90.00 beta=90.00 gamma=90.00
Sites, in units of the cell vectors:
Ti  0.3307  0.1693  0.5000
Ti  0.6693  0.8307  0.5000
Ti  0.1693  0.6693  0.5000
Ti  0.8307  0.3307  0.5000
Cu  0.5000  0.5000  0.0000
Cu  0.0000  0.0000  0.0000
V  0.6295  0.1295  0.0000
V  0.8705  0.6295  0.0000
V  0.3705  0.8705  0.0000
V  0.1295  0.3705  0.0000

Energy ordering: P at the bottom, the next structure 147 meV per atom above.

--- P ---
TiCuW3: relaxed, PBE.

Summary:
SG = Pm-3m

Unit cell a=4.5128 b=4.5128 c=4.5128 alpha=90.00 beta=90.00 gamma=90.00
Sites, in units of the cell vectors:
W  0.5000  0.0000  0.0000
W  0.0000  0.5000  0.0000
W  0.0000  0.0000  0.5000
Ti  0.5000  0.5000  0.5000
Cu  0.0000  0.0000  0.0000

--- Q ---
TiCuW3: relaxed, PBE.

Summary:
SG = Pm-3m

Unit cell a=4.5572 b=4.5572 c=4.5572 alpha=90.00 beta=90.00 gamma=90.00
Sites, in units of the cell vectors:
Ti  0.0000  0.0000  0.0000
Cu  0.5000  0.5000  0.5000
W  0.0000  0.5000  0.0000
W  0.0000  0.0000  0.5000
W  0.5000  0.0000  0.0000

Energy ordering: P at the bottom, the next structure 376 meV per atom above.

--- P ---
TiCu2W: relaxed, PBE.

Summary:
SG = Fm-3m

Unit cell a=4.3142 b=4.3142 c=4.3142 alpha=60.00 beta=60.00 gamma=60.00
Sites, in units of the cell vectors:
Ti  0.0000  0.0000  0.0000
W  0.5000  0.5000  0.5000
Cu  0.2500  0.2500  0.2500
Cu  0.7500  0.7500  0.7500

--- Q ---
TiCu2W: relaxed, PBE.

Summary:
SG = I-42d

Unit cell a=3.5993 b=3.5993 c=9.8192 alpha=79.44 beta=79.44 gamma=90.00
Sites, in units of the cell vectors:
Cu  0.6296  0.1250  0.2500
Cu  0.3750  0.3704  0.7500
Cu  0.8750  0.8796  0.7500
Cu  0.1204  0.6250  0.2500
Ti  0.2500  0.7500  0.5000
Ti  0.5000  0.5000  0.0000
W  0.0000  0.0000  0.0000
W  0.7500  0.2500  0.5000

Energy ordering: P at the bottom, the next structure 378 meV per atom above.

--- P ---
YTi2Cu2: relaxed, PBE.

Summary:
SG = P4/mbm

Unit cell a=7.5129 b=7.5129 c=3.1222 alpha=90.00 beta=90.00 gamma=90.00
Last column: magnetic moment on the atom in μB.
Sites, in units of the cell vectors:
Cu  0.6227  0.1227  0.0000  0.02
Cu  0.8773  0.6227  0.0000  0.03
Cu  0.3773  0.8773  0.0000  0.02
Cu  0.1227  0.3773  0.0000  0.03
Y  0.5000  0.5000  0.0000  0.00
Y  0.0000  0.0000  0.0000  0.00
Ti  0.1649  0.6649  0.5000  0.18
Ti  0.6649  0.8351  0.5000  0.18
Ti  0.3351  0.1649  0.5000  0.18
Ti  0.8351  0.3351  0.5000  0.18

--- Q ---
YTi2Cu2: relaxed, PBE.

Summary:
SG = I4/mmm

Unit cell a=4.2956 b=4.2956 c=6.0242 alpha=69.11 beta=69.11 gamma=90.00
Last column: magnetic moment on the atom in μB.
Sites, in units of the cell vectors:
Y  0.0000  0.0000  0.0000  0.00
Cu  0.2500  0.7500  0.5000  0.00
Cu  0.7500  0.2500  0.5000  0.00
Ti  0.3688  0.3688  0.2623  0.16
Ti  0.6312  0.6312  0.7377  0.16

--- R ---
YTi2Cu2: relaxed, PBE.

Summary:
SG = I4/mmm

Unit cell a=3.9497 b=3.9497 c=6.5951 alpha=72.58 beta=72.58 gamma=90.00
Last column: magnetic moment on the atom in μB.
Sites, in units of the cell vectors:
Y  0.0000  0.0000  0.0000  0.18
Cu  0.6024  0.6024  0.7953  0.06
Cu  0.3976  0.3976  0.2047  0.06
Ti  0.2500  0.7500  0.5000  0.84
Ti  0.7500  0.2500  0.5000  0.84

Energy ordering: R at the bottom, the next structure 66 meV per atom above.

--- P ---
Ti2Zn6Cu: relaxed, PBE.

Summary:
SG = P-3m1

Unit cell a=5.8909 b=5.1993 c=5.1993 alpha=120.00 beta=90.00 gamma=90.00
Last column: magnetic moment on the atom in μB.
Sites, in units of the cell vectors:
Cu  0.5000  0.0000  0.0000  0.04
Zn  0.8218  0.3441  0.1721  0.01
Zn  0.1782  0.1721  0.3441  0.01
Zn  0.8218  0.8279  0.6559  0.01
Zn  0.8218  0.8279  0.1721  0.01
Zn  0.1782  0.6559  0.8279  0.01
Zn  0.1782  0.1721  0.8279  0.01
Ti  0.4077  0.6667  0.3333  0.78
Ti  0.5923  0.3333  0.6667  0.78

--- Q ---
Ti2Zn6Cu: relaxed, PBE.

Summary:
SG = Cmmm

Unit cell a=4.0373 b=6.3988 c=6.1771 alpha=121.19 beta=90.00 gamma=90.00
Sites, in units of the cell vectors:
Zn  0.0000  0.8356  0.2817
Zn  0.5000  0.7290  0.0000
Zn  0.0000  0.5540  0.7183
Zn  0.5000  0.2710  0.0000
Zn  0.0000  0.4460  0.2817
Zn  0.0000  0.1644  0.7183
Ti  0.5000  0.2147  0.4294
Ti  0.5000  0.7853  0.5706
Cu  0.0000  0.0000  0.0000

Energy ordering: Q at the bottom, the next structure 28 meV per atom above.

--- P ---
TiZn2Cu2: relaxed, PBE.

Summary:
SG = I4/mmm

Unit cell a=3.5641 b=3.5641 c=6.3406 alpha=73.68 beta=73.68 gamma=90.00
Sites, in units of the cell vectors:
Zn  0.2500  0.7500  0.5000
Zn  0.7500  0.2500  0.5000
Ti  0.0000  0.0000  0.0000
Cu  0.4008  0.4008  0.1984
Cu  0.5992  0.5992  0.8016

--- Q ---
TiZn2Cu2: relaxed, PBE.

Summary:
SG = Immm

Unit cell a=4.3087 b=5.4292 c=7.5245 alpha=122.71 beta=106.64 gamma=90.00
Sites, in units of the cell vectors:
Cu  0.2898  0.1840  0.5796
Cu  0.7102  0.8160  0.4204
Cu  0.7102  0.3160  0.4204
Cu  0.2898  0.6840  0.5796
Zn  0.8945  0.3420  0.7889
Zn  0.1055  0.1580  0.2111
Zn  0.1055  0.6580  0.2111
Zn  0.8945  0.8420  0.7889
Ti  0.5000  0.2500  0.0000
Ti  0.5000  0.7500  0.0000

Energy ordering: Q at the bottom, the next structure 157 meV per atom above.

--- P ---
Ti2Zn3Cu2: relaxed, PBE.

Summary:
SG = C2/m

Unit cell a=4.4510 b=5.2533 c=4.8611 alpha=98.79 beta=90.00 gamma=115.06
Last column: magnetic moment on the atom in μB.
Sites, in units of the cell vectors:
Zn  0.2738  0.5476  0.1680  0.00
Zn  0.0000  0.0000  0.0000  0.01
Zn  0.7262  0.4524  0.8320  0.00
Cu  0.1315  0.2630  0.5966  0.02
Cu  0.8685  0.7370  0.4034  0.02
Ti  0.4243  0.8487  0.7025  0.52
Ti  0.5757  0.1513  0.2975  0.52

--- Q ---
Ti2Zn3Cu2: relaxed, PBE.

Summary:
SG = Cmcm

Unit cell a=4.1521 b=5.5018 c=9.2256 alpha=90.00 beta=103.00 gamma=90.00
Last column: magnetic moment on the atom in μB.
Sites, in units of the cell vectors:
Ti  0.0100  0.7500  0.0200  0.36
Ti  0.8504  0.7500  0.7007  0.34
Ti  0.1496  0.2500  0.2993  0.34
Ti  0.9900  0.2500  0.9800  0.36
Zn  0.5740  0.4891  0.1481  0.01
Zn  0.4260  0.9891  0.8519  0.01
Zn  0.1641  0.7500  0.3283  0.01
Zn  0.5740  0.0109  0.1481  0.01
Zn  0.4260  0.5109  0.8519  0.01
Zn  0.8359  0.2500  0.6717  0.01
Cu  0.2868  0.9968  0.5736  0.01
Cu  0.7132  0.0032  0.4264  0.01
Cu  0.2868  0.5032  0.5736  0.01
Cu  0.7132  0.4968  0.4264  0.01

Energy ordering: Q at the bottom, the next structure 5 meV per atom above.

--- P ---
Ti3ZnCu: relaxed, PBE.

Summary:
SG = P6_3/mmc

Unit cell a=4.5698 b=6.5790 c=6.5790 alpha=119.99 beta=90.00 gamma=90.00
Sites, in units of the cell vectors:
Ti  0.2500  0.3926  0.1964
Ti  0.7500  0.1964  0.3926
Ti  0.2500  0.8037  0.1963
Ti  0.7500  0.6074  0.8036
Ti  0.2500  0.8036  0.6074
Ti  0.7500  0.1963  0.8037
Zn  0.7500  0.6666  0.3334
Zn  0.2500  0.3334  0.6666
Cu  0.0000  0.0000  0.0000
Cu  0.5000  0.0000  0.0000

--- Q ---
Ti3ZnCu: relaxed, PBE.

Summary:
SG = Pm-3m

Unit cell a=4.5854 b=4.5854 c=4.5854 alpha=90.00 beta=90.00 gamma=90.00
Sites, in units of the cell vectors:
Cu  0.0000  0.0000  0.0000
Zn  0.5000  0.5000  0.5000
Ti  0.0000  0.0000  0.5000
Ti  0.0000  0.5000  0.0000
Ti  0.5000  0.0000  0.0000

Energy ordering: P at the bottom, the next structure 362 meV per atom above.

--- P ---
TiZn4Cu: relaxed, PBE.

Summary:
SG = F-43m

Unit cell a=5.0183 b=5.0183 c=5.0183 alpha=60.00 beta=60.00 gamma=60.00
Last column: magnetic moment on the atom in μB.
Sites, in units of the cell vectors:
Ti  0.2500  0.2500  0.2500  1.01
Zn  0.6246  0.6246  0.6246  0.03
Zn  0.1261  0.6246  0.6246  0.03
Zn  0.6246  0.1261  0.6246  0.03
Zn  0.6246  0.6246  0.1261  0.03
Cu  0.0000  0.0000  0.0000  0.03

--- Q ---
TiZn4Cu: relaxed, PBE.

Summary:
SG = I4/mcm

Unit cell a=5.9996 b=5.9996 c=6.8904 alpha=64.20 beta=64.20 gamma=90.02
Sites, in units of the cell vectors:
Cu  0.2501  0.2499  0.5000
Cu  0.7499  0.7501  0.5000
Zn  0.6957  0.5288  0.2754
Zn  0.0288  0.1957  0.2754
Zn  0.9712  0.8043  0.7246
Zn  0.5291  0.0291  0.2752
Zn  0.3043  0.4712  0.7246
Zn  0.1954  0.6954  0.2756
Zn  0.8046  0.3046  0.7244
Zn  0.4709  0.9709  0.7248
Ti  0.5000  0.5000  0.0000
Ti  0.0000  0.0000  0.0000

--- R ---
TiZn4Cu: relaxed, PBE.

Summary:
SG = C2/c

Unit cell a=4.9174 b=6.7908 c=6.7908 alpha=122.09 beta=100.49 gamma=100.49
Last column: magnetic moment on the atom in μB.
Sites, in units of the cell vectors:
Cu  0.2500  0.0044  0.9956  0.02
Cu  0.7500  0.9956  0.0044  0.02
Zn  0.1340  0.1611  0.4212  0.01
Zn  0.4543  0.0778  0.7014  0.02
Zn  0.8660  0.8389  0.5788  0.01
Zn  0.0457  0.2986  0.9222  0.02
Zn  0.3660  0.5788  0.8389  0.01
Zn  0.9543  0.7014  0.0778  0.02
Zn  0.5457  0.9222  0.2986  0.02
Zn  0.6340  0.4212  0.1611  0.01
Ti  0.2500  0.5702  0.4298  0.90
Ti  0.7500  0.4298  0.5702  0.90

Energy ordering: R at the bottom, the next structure 105 meV per atom above.

--- P ---
Ti2Zn3Cu4: relaxed, PBE.

Summary:
SG = P-3m1

Unit cell a=4.2457 b=4.2446 c=7.9143 alpha=90.03 beta=90.00 gamma=59.99
Sites, in units of the cell vectors:
Ti  0.3332  0.3336  0.7841
Ti  0.6668  0.6664  0.2159
Zn  0.3334  0.3331  0.4288
Zn  0.0000  0.0000  0.0000
Zn  0.6666  0.6669  0.5712
Cu  0.6666  0.6667  0.8931
Cu  0.9999  0.0002  0.6573
Cu  0.3334  0.3333  0.1069
Cu  0.0001  0.9998  0.3427

--- Q ---
Ti2Zn3Cu4: relaxed, PBE.

Summary:
SG = Cmce

Unit cell a=5.0246 b=7.0218 c=7.7914 alpha=90.00 beta=108.81 gamma=90.00
Last column: magnetic moment on the atom in μB.
Sites, in units of the cell vectors:
Cu  0.8257  0.2500  0.1514  0.03
Cu  0.1743  0.7500  0.8486  0.03
Cu  0.3257  0.2500  0.1514  0.03
Cu  0.6652  0.5125  0.3304  0.03
Cu  0.3348  0.4875  0.6696  0.03
Cu  0.8348  0.0125  0.6696  0.03
Cu  0.1652  0.9875  0.3304  0.03
Cu  0.6743  0.7500  0.8486  0.03
Zn  0.0043  0.7500  0.5087  0.00
Zn  0.9957  0.2500  0.4913  0.00
Zn  0.5043  0.7500  0.5087  0.00
Zn  0.5000  0.5000  0.0000  -0.01
Zn  0.0000  0.0000  0.0000  -0.01
Zn  0.4957  0.2500  0.4913  0.00
Ti  0.9129  0.3819  0.8259  0.78
Ti  0.4129  0.1181  0.8259  0.78
Ti  0.0871  0.6181  0.1741  0.78
Ti  0.5871  0.8819  0.1741  0.78

Energy ordering: P at the bottom, the next structure 83 meV per atom above.

--- P ---
Ti4ZnCu: relaxed, PBE.

Summary:
SG = C2/m

Unit cell a=4.3779 b=4.3769 c=7.0288 alpha=71.92 beta=71.85 gamma=59.99
Last column: magnetic moment on the atom in μB.
Sites, in units of the cell vectors:
Ti  0.1267  0.1271  0.6195  -0.71
Ti  0.8733  0.8729  0.3805  -0.71
Ti  0.6325  0.6327  0.1023  0.82
Ti  0.3675  0.3673  0.8977  0.82
Cu  0.0000  0.0000  0.0000  0.07
Zn  0.5000  0.5000  0.5000  0.00

--- Q ---
Ti4ZnCu: relaxed, PBE.

Summary:
SG = P4/mmm

Unit cell a=2.9473 b=2.9473 c=10.9892 alpha=90.00 beta=90.00 gamma=90.00
Sites, in units of the cell vectors:
Ti  0.0000  0.0000  0.6583
Ti  0.5000  0.5000  0.1685
Ti  0.0000  0.0000  0.3417
Ti  0.5000  0.5000  0.8315
Cu  0.5000  0.5000  0.5000
Zn  0.0000  0.0000  0.0000

Energy ordering: Q at the bottom, the next structure 486 meV per atom above.